Entry 1:
# SrC3I

Crystalline SrC3I at its relaxed geometry (GGA-PBE, Alexandria via LeMat-Bulk).

abc: 5.2665 5.2665 5.2665
angles: 90.00 90.00 90.00
Closest atoms and distances in Å follow each position.
Positions (direct):
Sr  0.0000  0.0000  0.0000  6 C 2.63
C  0.0000  0.0000  0.5000  2 Sr 2.63
C  0.0000  0.5000  0.0000  2 Sr 2.63
C  0.5000  0.0000  0.0000  2 Sr 2.63
I  0.5000  0.5000  0.5000  12 C 3.72

## Properties
ΔE_f (raw) ... 3.367 eV/atom
Raw total energy ... -14.07 eV/f.u.
Size of the total moment ... 7.0 μB per formula unit
Polymorph energy (0 for the lowest one) ... 851 meV per atom

Entry 2:
# SrCI2

Crystalline SrCI2 at its relaxed geometry (GGA-PBE, Alexandria via LeMat-Bulk).

abc: 5.6532 5.6532 5.6532
angles: 60.00 60.00 60.00
Closest atoms and distances in Å follow each position.
Positions (direct):
Sr  0.0000  0.0000  0.0000  8 I 3.46
C  0.5000  0.5000  0.5000  8 I 3.46
I  0.2500  0.2500  0.2500  4 C 3.46, 4 Sr 3.46
I  0.7500  0.7500  0.7500  4 C 3.46, 4 Sr 3.46

## Properties
ΔE_f (raw) ... 0.608 eV/atom
Raw total energy ... -11.58 eV/f.u.
Size of the total moment ... 2.0 μB per formula unit
Polymorph energy (0 for the lowest one) ... 0 meV per atom

Entry 3:
# SrC2I

Crystalline SrC2I at its relaxed geometry (GGA-PBE, Alexandria via LeMat-Bulk).

abc: 6.0058 6.0058 6.0058
angles: 115.63 115.63 97.75
Closest atoms and distances in Å follow each position.
Positions (direct):
Sr  0.0000  0.0000  0.0000  4 C 2.74
Sr  0.7500  0.2500  0.5000  4 C 2.74
C  0.1864  0.1250  0.5614  2 I 2.23
C  0.3750  0.8136  0.9386  2 I 2.23
C  0.5636  0.6250  0.4386  2 I 2.23
C  0.8750  0.4364  0.0614  2 I 2.23
I  0.2500  0.7500  0.5000  4 C 2.23
I  0.5000  0.5000  0.0000  4 C 2.23

## Properties
ΔE_f (raw) ... 1.750 eV/atom
Raw total energy ... -14.68 eV/f.u.
Size of the total moment ... 0.6 μB per formula unit
Polymorph energy (0 for the lowest one) ... 0 meV per atom

Entry 4:
# SrC2I

Crystalline SrC2I at its relaxed geometry (GGA-PBE, Alexandria via LeMat-Bulk).

abc: 4.7075 4.7075 4.7075
angles: 60.00 60.00 60.00
Closest atoms and distances in Å follow each position.
Positions (direct):
Sr  0.0000  0.0000  0.0000  8 C 2.88
C  0.2500  0.2500  0.2500  4 I 2.88, 4 Sr 2.88
C  0.7500  0.7500  0.7500  4 I 2.88, 4 Sr 2.88
I  0.5000  0.5000  0.5000  8 C 2.88

## Properties
ΔE_f (raw) ... 2.100 eV/atom
Raw total energy ... -13.28 eV/f.u.
Size of the total moment ... 0.0 μB per formula unit
Polymorph energy (0 for the lowest one) ... 350 meV per atom

Entry 5:
# SrCI2

Crystalline SrCI2 at its relaxed geometry (GGA-PBE, Alexandria via LeMat-Bulk).

abc: 9.1880 9.1880 9.1880
angles: 142.09 142.09 54.70
Closest atoms and distances in Å follow each position.
Positions (direct):
Sr  0.0000  0.0000  0.0000  4 I 3.22
Sr  0.7500  0.2500  0.5000  4 I 3.22
C  0.2500  0.7500  0.5000  4 I 2.72
C  0.5000  0.5000  0.0000  4 I 2.72
I  0.2080  0.6250  0.0830  2 C 2.72
I  0.3750  0.4580  0.5830  2 C 2.72
I  0.5420  0.1250  0.9170  2 C 2.72
I  0.8750  0.7920  0.4170  2 C 2.72

## Properties
ΔE_f (raw) ... 0.700 eV/atom
Raw total energy ... -11.21 eV/f.u.
Size of the total moment ... 0.0 μB per formula unit
Polymorph energy (0 for the lowest one) ... 92 meV per atom

Entry 6:
# SrCI

Crystalline SrCI at its relaxed geometry (GGA-PBE, Alexandria via LeMat-Bulk).

abc: 7.3171 6.2612 8.6030
angles: 90.00 103.72 90.00
Closest atoms and distances in Å follow each position.
Positions (direct):
Sr  0.2260  0.2242  0.3291  3 C 2.78-3.01
Sr  0.2260  0.2758  0.8291  3 C 2.78-3.01
Sr  0.7740  0.7242  0.1709  3 C 2.78-3.01
Sr  0.7740  0.7758  0.6709  3 C 2.78-3.01
C  0.0367  0.0695  0.5514  1 C 1.27
C  0.0367  0.4305  0.0514  1 C 1.27
C  0.9633  0.5695  0.9486  1 C 1.27
C  0.9633  0.9305  0.4486  1 C 1.27
I  0.4046  0.7327  0.3500  4 Sr 3.33-3.43
I  0.4046  0.7673  0.8500  4 Sr 3.33-3.43
I  0.5954  0.2327  0.1500  4 Sr 3.33-3.43
I  0.5954  0.2673  0.6500  4 Sr 3.33-3.43

## Properties
ΔE_f (raw) ... -0.663 eV/atom
Raw total energy ... -14.44 eV/f.u.
Size of the total moment ... 0.0 μB per formula unit